! VGaRe2Br GGA-PBE relaxed; values from VASP
&SYSTEM
  ibrav = 0, nat = 5, ntyp = 4
/
ATOMIC_SPECIES
V 50.94 V.upf
Ga 69.72 Ga.upf
Re 186.21 Re.upf
Br 79.90 Br.upf
CELL_PARAMETERS angstrom
4.580 0.000 0.000
0.000 4.580 0.000
0.000 0.000 4.385
ATOMIC_POSITIONS angstrom
V 0.000 0.000 0.000
Ga 2.290 2.290 0.000
Re 0.000 2.290 2.192
Re 2.290 0.000 2.192
Br 0.000 0.000 2.192
! Uncorrected formation energy in eV per formula unit: 9.2
! Space-group type: No. 123
! Fermi-level density of states in states/eV/cell: 7.3


! GaRh3Br GGA-PBE relaxed; values from VASP
&SYSTEM
  ibrav = 0, nat = 5, ntyp = 3
/
ATOMIC_SPECIES
Ga 69.72 Ga.upf
Rh 102.91 Rh.upf
Br 79.90 Br.upf
CELL_PARAMETERS angstrom
4.611 0.000 0.000
0.000 4.611 0.000
0.000 0.000 4.611
ATOMIC_POSITIONS angstrom
Ga 0.000 0.000 0.000
Rh 0.000 2.306 2.306
Rh 2.306 0.000 2.306
Rh 2.306 2.306 0.000
Br 2.306 2.306 2.306
! Uncorrected formation energy in eV per formula unit: 4.7
! Energy relative to the lowest polymorph listed for this composition in meV/atom: 55.0
! Space-group type: No. 221
! Fermi-level density of states in states/eV/cell: 7.6


! GaRhBr2 GGA-PBE relaxed; values from VASP
&SYSTEM
  ibrav = 0, nat = 4, ntyp = 3
/
ATOMIC_SPECIES
Ga 69.72 Ga.upf
Rh 102.91 Rh.upf
Br 79.90 Br.upf
CELL_PARAMETERS angstrom
0.000 3.537 3.537
3.537 0.000 3.537
3.537 3.537 0.000
ATOMIC_POSITIONS angstrom
Ga 0.000 0.000 0.000
Rh 3.537 3.537 3.537
Br 1.769 1.769 1.769
Br 5.306 5.306 5.306
! Uncorrected formation energy in eV per formula unit: 1.1
! Energy relative to the lowest polymorph listed for this composition in meV/atom: 493.4
! Space-group type: No. 225
! Fermi-level density of states in states/eV/cell: 4.0


! GaRhBr2 GGA-PBE relaxed; values from VASP
&SYSTEM
  ibrav = 0, nat = 8, ntyp = 3
/
ATOMIC_SPECIES
Ga 69.72 Ga.upf
Rh 102.91 Rh.upf
Br 79.90 Br.upf
CELL_PARAMETERS angstrom
-4.663 4.663 2.449
4.663 -4.663 2.449
4.663 4.663 -2.449
ATOMIC_POSITIONS angstrom
Ga 0.000 0.000 0.000
Ga 0.000 4.663 1.225
Rh 4.663 0.000 1.225
Rh 0.000 0.000 2.449
Br 2.331 -0.946 1.837
Br 3.717 2.331 0.612
Br 2.331 5.609 -0.612
Br 0.946 2.331 3.062
! Uncorrected formation energy in eV per formula unit: -0.9
! Energy relative to the lowest polymorph listed for this composition in meV/atom: 0.0
! Space-group type: No. 122
! Fermi-level density of states in states/eV/cell: 5.7